No. 1
ScBeC2 | GGA-PBE | relaxed

Summary:
Volume in Å³/cell: 159.2
Calculated formation energy in meV per atom: 239
Size of the total moment in μB/cell: 0.0

Unit cell a=3.731 b=3.731 c=11.439 alpha=90.00 beta=90.00 gamma=90.00
Space group I-42d (No. 122)
Unique sites:
Sc: 0.000 0.000 0.000 (multiplicity 4)
Be: 0.000 0.000 0.500 (multiplicity 4)
C: 0.087 0.750 0.625 (multiplicity 8)

No. 2
Sc3BeC | GGA-PBE | relaxed

Summary:
Volume in Å³/cell: 89.2
Calculated formation energy in meV per atom: -196
Excess energy over the best structure of this formula in the dataset in kJ per mole of atoms: 0.0
Size of the total moment in μB/cell: 1.0

Unit cell a=4.468 b=4.468 c=4.468 alpha=90.00 beta=90.00 gamma=90.00
Space group Pm-3m (No. 221)
Unique sites:
Sc: 0.000 0.000 0.500 (multiplicity 3)
Be: 0.500 0.500 0.500 (multiplicity 1)
C: 0.000 0.000 0.000 (multiplicity 1)